Computed, not measured: an optimized crystal structure of Y2TmSb2 at the PBE level of DFT.

Properties
The density of states at the Fermi level is 12.050 states/eV per cell. The value obtained for the energy relative to the elements, uncorrected is -0.624 eV/atom. The value obtained for the energy is -28.77 eV per formula unit.

Structure (POSCAR):
```
Y2TmSb2
1.0
7.856 0.859 1.156
-1.857 7.682 1.156
-2.395 -3.410 4.033
Tm Y Sb
2 4 4
Cartesian
4.199 2.797 4.759 Tm
-0.595 2.334 1.586 Tm
-1.262 5.377 3.507 Y
4.866 -0.246 2.839 Y
1.777 -0.623 4.855 Y
1.827 5.754 1.490 Y
2.052 0.475 1.586 Sb
1.552 4.657 4.759 Sb
-1.058 0.113 3.603 Sb
4.663 5.018 2.743 Sb
```


Computed, not measured: an optimized crystal structure of Zn4In3 at the PBE level of DFT.

Properties
The calculation puts the energy relative to the elements at 68 kJ/mol of formula units. The density of states at the Fermi level is 2.454 states/eV per cell. As for the offset from the most stable computed form: 0.0 meV per atom. The value obtained for the energy is -12.60 eV per formula unit.

Structure (POSCAR):
```
Zn4In3
1.0
-1.639 1.639 13.521
1.639 -1.639 13.521
1.639 1.639 -13.521
In Zn
3 4
Cartesian
0.000 0.000 0.000 In
0.000 0.000 8.048 In
0.000 0.000 18.995 In
0.000 0.000 15.569 Zn
0.000 0.000 11.473 Zn
0.000 0.000 3.433 Zn
0.000 0.000 23.609 Zn
```


Computed, not measured: an optimized crystal structure of PbSO4 at the PBE level of DFT.

Properties
The density of states at the Fermi level is 0.000 states/eV per cell. The value obtained for the energy relative to the elements, uncorrected is -1.412 eV/atom. As for the offset from the most stable computed form: 33.3 meV per atom. The value obtained for the energy is -36.14 eV per formula unit.

Structure (POSCAR):
```
PbSO4
1.0
-2.682 -2.147 -5.197
-0.730 -3.380 5.182
-2.711 5.487 1.161
O Pb S
8 2 2
Cartesian
-3.087 2.949 1.801 O
-2.099 -1.471 -0.650 O
-4.336 1.628 0.138 O
-2.655 0.768 4.184 O
-1.555 0.094 2.156 O
-2.180 -1.621 3.811 O
-3.904 -0.553 2.521 O
-2.724 -3.186 1.004 O
-3.549 0.288 -2.021 Pb
0.000 0.000 0.000 Pb
-2.574 -0.328 3.168 S
-1.706 -2.763 -0.007 S
```


Computed, not measured: an optimized crystal structure of Sn2SbHAu at the PBE level of DFT.

Properties
The density of states at the Fermi level is 1.179 states/eV per cell. The value obtained for the energy is -18.41 eV per formula unit.

Structure (POSCAR):
```
Sn2SbHAu
1.0
-2.268 -2.875 -4.344
0.620 -4.854 2.888
-3.156 0.414 1.374
Au Sn H Sb
1 2 1 1
Cartesian
0.000 0.000 0.000 Au
-1.134 -1.437 -2.172 Sn
0.310 -2.427 1.444 Sn
-1.578 0.207 0.687 H
-2.402 -3.657 -0.041 Sb
```


Please write out number 3 again, unchanged.
Computed, not measured: an optimized crystal structure of PbSO4 at the PBE level of DFT.

Properties
The density of states at the Fermi level is 0.000 states/eV per cell. The value obtained for the energy relative to the elements, uncorrected is -1.412 eV/atom. As for the offset from the most stable computed form: 33.3 meV per atom. The value obtained for the energy is -36.14 eV per formula unit.

Structure (POSCAR):
```
PbSO4
1.0
-2.682 -2.147 -5.197
-0.730 -3.380 5.182
-2.711 5.487 1.161
O Pb S
8 2 2
Cartesian
-3.087 2.949 1.801 O
-2.099 -1.471 -0.650 O
-4.336 1.628 0.138 O
-2.655 0.768 4.184 O
-1.555 0.094 2.156 O
-2.180 -1.621 3.811 O
-3.904 -0.553 2.521 O
-2.724 -3.186 1.004 O
-3.549 0.288 -2.021 Pb
0.000 0.000 0.000 Pb
-2.574 -0.328 3.168 S
-1.706 -2.763 -0.007 S
```